The following is a DFT calculation (PBE) of LiMn2Br6 after structural relaxation.

POSCAR file:
```
LiMn2Br6
1.0
-3.898 -4.168 3.501
2.548 -3.431 5.153
-1.947 2.053 6.679
Li Mn Br
1 2 6
Direct
0.794 0.794 0.617
0.290 0.290 0.131
0.468 0.468 0.596
0.542 0.223 0.362
0.223 0.873 0.362
0.873 0.542 0.362
0.383 0.686 0.855
0.686 0.075 0.855
0.075 0.383 0.855
```

Properties
Energy relative to the elements, uncorrected ... -0.84 eV per atom
Polymorph energy (0 for the lowest one) ... 0.0 meV per atom
V ... 26.47 Å³/atom
Symmetry ... R3 (146)


The following is a DFT calculation (PBE) of ZnMo2Se after structural relaxation.

POSCAR file:
```
ZnMo2Se
1.0
3.799 0.000 0.000
0.000 3.799 0.000
1.899 1.899 9.396
Mo Zn Se
4 2 2
Direct
0.621 0.125 0.250
0.129 0.625 0.250
0.375 0.379 0.750
0.875 0.871 0.750
0.500 0.500 0.000
0.250 0.750 0.500
0.000 0.000 0.000
0.750 0.250 0.500
```

Properties
Energy relative to the elements, uncorrected ... 0.42 eV per atom
Polymorph energy (0 for the lowest one) ... 318.5 meV per atom
V ... 16.95 Å³/atom
Symmetry ... I-42d (122)


Which value of polymorph energy (0 for the lowest one) does entry 1 give?
0.0 meV per atom


Among the records above, which one has the lowest energy relative to the elements, uncorrected?
LiMn2Br6